1.
Material: TaCr2HIr
Method: DFT, GGA-PBE
State: optimized geometry

The total energy is -7.780 eV per atom. Its volume is 70.7 Å³ per cell. The density of states at the Fermi level is 5.4 states/eV per cell. For the relative energy among the computed polymorphs, the calculation gives 967 meV/atom.

The structure belongs to space group P4/mmm (No. 123); the cell edges are 4.6688, 4.6688 and 3.2435 Å and the angles 90.00°, 90.00° and 90.00°. The asymmetric unit holds Ta at (0.0000, 0.0000, 0.0000), Cr at (0.0000, 0.5000, 0.5000), H at (0.5000, 0.5000, 0.0000) and Ir at (0.5000, 0.5000, 0.5000).

***

2.
Material: Y5Mg4
Method: DFT, GGA-PBE
State: optimized geometry

The calculated formation energy is -5 kJ/mol of formula units. The total energy is -4.306 eV per atom. Its volume is 517.2 Å³ per cell. The density of states at the Fermi level is 29.6 states/eV per cell. For the relative energy among the computed polymorphs, the calculation gives 0 meV/atom.

The structure belongs to space group P6_3/mcm (No. 193); the cell edges are 9.4188, 9.4188 and 6.7316 Å and the angles 90.00°, 90.00° and 120.00°. The asymmetric unit holds Y at (0.0000, 0.3173, 0.2500), Y at (0.3333, 0.6667, 0.0000), Mg at (0.0000, 0.0000, 0.0000) and Mg at (0.0000, 0.3461, 0.7500).

***

> Among the records above, which one has the lowest relative energy among the computed polymorphs?

Y5Mg4